# 1
VASP calculation (PBE) on a relaxed structure of ErHfAgIr.

Cell: 4.8209 4.8209 4.8209 Å, 60.00 60.00 60.00°
Closest atoms and distances in Å follow each position.
Sites, in units of the cell vectors:
Er  0.5000  0.5000  0.5000  4 Ir 2.95, 4 Ag 2.95
Hf  0.0000  0.0000  0.0000  4 Ir 2.95, 4 Ag 2.95
Ir  0.7500  0.7500  0.7500  4 Er 2.95, 4 Hf 2.95
Ag  0.2500  0.2500  0.2500  4 Hf 2.95, 4 Er 2.95

uncorrected energy: -0.51868 Ry per atom
total magnetization: 0.000 μB/f.u.
space group: F-43m (216)
density of states at the Fermi level: 0.714 states/eV/atom
ΔH_f (0 K): -500 meV/atom
V: 19.81 Å³ per atom



# 2
VASP calculation (PBE) on a relaxed structure of TiSb.

Cell: 4.2929 9.0623 6.7567 Å, 90.00 90.00 90.00°
Closest atoms and distances in Å follow each position.
Sites, in units of the cell vectors:
Sb  0.0000  0.6709  0.7443  5 Ti 2.77-2.93, 1 Sb 3.10
Sb  0.0000  0.8291  0.2443  5 Ti 2.77-2.93, 1 Sb 3.10
Sb  0.5000  0.0000  0.8611  6 Ti 2.85-2.90
Sb  0.0000  0.3291  0.7443  5 Ti 2.77-2.93, 1 Sb 3.10
Sb  0.0000  0.1709  0.2443  5 Ti 2.77-2.93, 1 Sb 3.10
Sb  0.5000  0.5000  0.3611  6 Ti 2.85-2.90
Ti  0.0000  0.5000  0.0837  4 Sb 2.77-2.85, 4 Ti 2.88
Ti  0.5000  0.2918  0.0343  6 Sb 2.80-2.93, 2 Ti 2.88
Ti  0.5000  0.7082  0.0343  6 Sb 2.80-2.93, 2 Ti 2.88
Ti  0.0000  0.0000  0.5837  4 Sb 2.77-2.85, 4 Ti 2.88
Ti  0.5000  0.7918  0.5343  6 Sb 2.80-2.93, 2 Ti 2.88
Ti  0.5000  0.2082  0.5343  6 Sb 2.80-2.93, 2 Ti 2.88

uncorrected formation energy: -28 kJ/mol of atoms
uncorrected energy: -0.46275 Ry per atom
total magnetization: 0.000 μB/f.u.
space group: Amm2 (38)
density of states at the Fermi level: 0.778 states/eV/atom
V: 21.91 Å³ per atom



# 3
VASP calculation (PBE) on a relaxed structure of Mn4Al11.

Cell: 5.0453 8.7702 5.0254 Å, 90.10 100.41 105.31°
Closest atoms and distances in Å follow each position.
Sites, in units of the cell vectors:
Al  0.7308  0.3674  0.1994  4 Mn 2.48-2.61, 4 Al 2.62-2.66
Al  0.1811  0.3251  0.0516  2 Mn 2.38-2.52, 3 Al 2.57-2.66
Al  0.3284  0.3740  0.5673  4 Mn 2.52-2.71, 5 Al 2.57-2.67
Al  0.0000  0.0000  0.0000  2 Mn 2.38
Al  0.6716  0.6260  0.4327  4 Mn 2.52-2.71, 5 Al 2.57-2.67
Al  0.1077  0.8749  0.5063  4 Mn 2.54-2.75, 5 Al 2.63-2.80
Al  0.5309  0.1267  0.8449  4 Mn 2.54-2.69, 3 Al 2.62-2.76
Al  0.2692  0.6326  0.8006  4 Mn 2.48-2.61, 4 Al 2.62-2.66
Al  0.8189  0.6749  0.9484  2 Mn 2.38-2.52, 3 Al 2.57-2.66
Al  0.4691  0.8733  0.1551  4 Mn 2.54-2.69, 3 Al 2.62-2.76
Al  0.8923  0.1251  0.4937  4 Mn 2.54-2.75, 5 Al 2.63-2.80
Mn  0.3891  0.1333  0.3355  8 Al 2.38-2.61
Mn  0.1497  0.5987  0.2857  5 Al 2.38-2.61
Mn  0.8503  0.4013  0.7143  5 Al 2.38-2.61
Mn  0.6109  0.8667  0.6645  8 Al 2.38-2.61

uncorrected energy: -0.40173 Ry per atom
total magnetization: 1.025 μB/f.u.
space group: P-1 (2)
density of states at the Fermi level: 0.199 states/eV/atom
ΔH_f (0 K): -276 meV/atom
V: 14.04 Å³ per atom



# 4
VASP calculation (PBE) on a relaxed structure of Rb2SrCeO4.

Cell: 3.6960 6.3684 6.8901 Å, 108.09 90.00 90.00°
Closest atoms and distances in Å follow each position.
Sites, in units of the cell vectors:
O  0.5000  0.7940  0.8180  2 Ce 2.38, 1 Sr 2.56
O  0.0000  0.2350  0.8222  1 Ce 2.21
O  0.0000  0.7650  0.1778  1 Ce 2.21
O  0.5000  0.2060  0.1820  2 Ce 2.38, 1 Sr 2.56
Ce  0.0000  0.0000  0.0000  6 O 2.21-2.38
Rb  0.5000  0.0000  0.5000  6 O 2.88-2.92
Rb  0.0000  0.5000  0.5000  6 O 3.03-3.18
Sr  0.5000  0.5000  0.0000  6 O 2.55-2.56

uncorrected formation energy: -238 kJ/mol of atoms
uncorrected energy: -0.45136 Ry per atom
total magnetization: 0.000 μB/f.u.
space group: P2/m (10)
density of states at the Fermi level: 0.000 states/eV/atom
V: 19.27 Å³ per atom